Entry 1:
# GGA-PBE Li2Mg6In, relaxed
# Energy relative to the elements: -0.08 eV per formula unit
# Offset from the most stable computed form: 61 meV per atom
data_Li2Mg6In
_chemical_formula_sum 'Li2 Mg6 In1'
_cell_length_a 4.887
_cell_length_b 4.887
_cell_length_c 10.081
_cell_angle_alpha 75.97
_cell_angle_beta 75.97
_cell_angle_gamma 60.00
_symmetry_space_group_name_H-M 'P 1'
_symmetry_Int_Tables_number 1
_symmetry_space_group_name_Hall 'P 1'
loop_
_atom_site_label
_atom_site_type_symbol
_atom_site_fract_x
_atom_site_fract_y
_atom_site_fract_z
_atom_site_occupancy
Mg1 Mg 0.426 0.426 0.721 1
Mg2 Mg 0.702 0.702 0.894 1
Mg3 Mg 0.191 0.191 0.427 1
Mg4 Mg 0.298 0.298 0.106 1
Mg5 Mg 0.574 0.574 0.279 1
Mg6 Mg 0.809 0.809 0.573 1
Li1 Li 0.093 0.093 0.721 1
Li2 Li 0.907 0.907 0.279 1
In1 In 0.000 0.000 0.000 1

***

Entry 2:
# GGA-PBE CaOsBr2, relaxed
# Formation energy from raw total energies: -0.21 eV per atom
# Offset from the most stable computed form: 16 meV per atom
data_CaOsBr2
_chemical_formula_sum 'Ca1 Os1 Br2'
_cell_length_a 3.396
_cell_length_b 4.488
_cell_length_c 7.811
_cell_angle_alpha 73.16
_cell_angle_beta 90.00
_cell_angle_gamma 90.00
_symmetry_space_group_name_H-M 'P 1'
_symmetry_Int_Tables_number 1
_symmetry_space_group_name_Hall 'P 1'
loop_
_atom_site_label
_atom_site_type_symbol
_atom_site_fract_x
_atom_site_fract_y
_atom_site_fract_z
_atom_site_occupancy
Os1 Os 0.500 0.971 0.683 1
Br1 Br 0.500 0.141 0.348 1
Br2 Br 0.000 0.849 0.921 1
Ca1 Ca 0.000 0.539 0.548 1

***

Entry 3:
# GGA-PBE TiPdI2F, relaxed
# Formation energy from raw total energies: -0.09 eV per atom
data_TiPdI2F
_chemical_formula_sum 'Ti1 Pd1 I2 F1'
_cell_length_a 5.324
_cell_length_b 4.931
_cell_length_c 5.324
_cell_angle_alpha 90.00
_cell_angle_beta 90.00
_cell_angle_gamma 90.00
_symmetry_space_group_name_H-M 'P 1'
_symmetry_Int_Tables_number 1
_symmetry_space_group_name_Hall 'P 1'
loop_
_atom_site_label
_atom_site_type_symbol
_atom_site_fract_x
_atom_site_fract_y
_atom_site_fract_z
_atom_site_occupancy
I1 I 0.000 0.000 0.500 1
I2 I 0.500 0.000 0.000 1
F1 F 0.500 0.500 0.500 1
Ti1 Ti 0.000 0.000 0.000 1
Pd1 Pd 0.000 0.500 0.000 1

***

Entry 4:
# GGA-PBE LaCr2Se, relaxed
# Formation energy from raw total energies: 0.00 eV per atom
data_LaCr2Se
_chemical_formula_sum 'La1 Cr2 Se1'
_cell_length_a 4.190
_cell_length_b 4.120
_cell_length_c 5.426
_cell_angle_alpha 90.00
_cell_angle_beta 90.00
_cell_angle_gamma 90.00
_symmetry_space_group_name_H-M 'P 1'
_symmetry_Int_Tables_number 1
_symmetry_space_group_name_Hall 'P 1'
loop_
_atom_site_label
_atom_site_type_symbol
_atom_site_fract_x
_atom_site_fract_y
_atom_site_fract_z
_atom_site_occupancy
Cr1 Cr 0.000 0.000 0.000 1
Cr2 Cr 0.500 0.500 0.000 1
La1 La 0.500 0.000 0.500 1
Se1 Se 0.000 0.500 0.500 1

***

In the order shown, the computed final energy values come out to -1.802, -4.359, -3.700, -6.919 eV/atom.
In the order shown, the computed volume values come out to 200, 114, 140, 94 Å³/cell.